Record 1
A relaxed Tb2PmPaBi4 crystal. Source: Alexandria, functional PBE.

Values from the calculation:
total DFT energy (no corrections)	-44.5	eV per cell
symmetry	No. 10
magnetization	0.1353	μB/atom

a b c (Å): 4.4994 7.8229 7.8083
angles (deg): 109.24 90.00 90.00
Each line ends with the local moment (μB).
Positions (direct):
Bi  0.0000  0.2516  0.7476  -0.02
Bi  0.5000  0.7451  0.7470  -0.01
Bi  0.5000  0.2549  0.2530  -0.01
Bi  0.0000  0.7484  0.2524  -0.02
Tb  0.0000  0.5000  0.5000  0.00
Tb  0.5000  0.0000  0.5000  0.01
Pa  0.5000  0.5000  0.0000  0.97
Pm  0.0000  0.0000  0.0000  0.01

---

Record 2
A relaxed TbPm2PaBi4 crystal. Source: Alexandria, functional PBE.

Values from the calculation:
total DFT energy (no corrections)	-44.8	eV per cell
symmetry	No. 10
magnetization	0.1298	μB/atom

a b c (Å): 4.5219 7.8449 7.8607
angles (deg): 109.25 90.00 90.00
Each line ends with the local moment (μB).
Positions (direct):
Bi  0.0000  0.7482  0.2442  -0.02
Bi  0.0000  0.2518  0.7558  -0.02
Bi  0.5000  0.2490  0.2431  -0.01
Bi  0.5000  0.7510  0.7569  -0.01
Tb  0.0000  0.0000  0.0000  0.00
Pm  0.0000  0.5000  0.5000  0.01
Pm  0.5000  0.0000  0.5000  0.02
Pa  0.5000  0.5000  0.0000  0.92

---

Record 3
A relaxed PmPaBiTe crystal. Source: Alexandria, functional PBE.

Values from the calculation:
ΔE_f (raw)	-2.6	eV per formula unit
symmetry	No. 216
magnetization	0.3637	μB/atom

a b c (Å): 5.4244 5.4244 5.4244
angles (deg): 60.00 60.00 60.00
Each line ends with the local moment (μB).
Positions (direct):
Pm  0.5000  0.5000  0.5000  0.20
Te  0.2500  0.2500  0.2500  -0.04
Bi  0.7500  0.7500  0.7500  -0.05
Pa  0.0000  0.0000  0.0000  0.98

---

Record 4
A relaxed PrPaBi2 crystal. Source: Alexandria, functional PBE.

Values from the calculation:
symmetry	No. 225
energy above the most stable polymorph in this dataset	0.023	eV/atom
magnetization	0.4675	μB/atom

a b c (Å): 5.5337 5.5337 5.5337
angles (deg): 60.00 60.00 60.00
Each line ends with the local moment (μB).
Positions (direct):
Pa  0.5000  0.5000  0.5000  1.06
Pr  0.0000  0.0000  0.0000  0.30
Bi  0.2500  0.2500  0.2500  -0.07
Bi  0.7500  0.7500  0.7500  -0.07

---

Record 5
A relaxed PrPa2Bi crystal. Source: Alexandria, functional PBE.

Values from the calculation:
total DFT energy (no corrections)	-27.8	eV per cell
symmetry	No. 123
magnetization	0.3015	μB/atom

a b c (Å): 5.2338 4.6019 4.6019
angles (deg): 90.00 90.00 90.00
Each line ends with the local moment (μB).
Positions (direct):
Bi  0.5000  0.5000  0.5000  -0.01
Pa  0.0000  0.5000  0.0000  0.51
Pa  0.0000  0.0000  0.5000  0.51
Pr  0.5000  0.0000  0.0000  0.01

---

Record 6
A relaxed PrPaBi2 crystal. Source: Alexandria, functional PBE.

Values from the calculation:
symmetry	No. 123
energy above the most stable polymorph in this dataset	0.000	eV/atom
magnetization	0.3855	μB/atom

a b c (Å): 3.9093 3.9093 7.8627
angles (deg): 90.00 90.00 90.00
Each line ends with the local moment (μB).
Positions (direct):
Pr  0.5000  0.5000  0.5000  0.16
Pa  0.5000  0.5000  0.0000  0.97
Bi  0.0000  0.0000  0.2370  -0.05
Bi  0.0000  0.0000  0.7630  -0.05

---

Record 7
A relaxed Pr2PaBi5 crystal. Source: Alexandria, functional PBE.

Values from the calculation:
total DFT energy (no corrections)	-84.1	eV per cell
symmetry	No. 55
magnetization	0.0181	μB/atom

a b c (Å): 4.5590 8.2144 14.2541
angles (deg): 90.00 90.00 90.00
Each line ends with the local moment (μB).
Positions (direct):
Pa  0.0000  0.0000  0.0000  0.17
Pa  0.0000  0.5000  0.5000  0.17
Bi  0.5000  0.2590  0.5738  -0.01
Bi  0.0000  0.5926  0.7084  -0.01
Bi  0.0000  0.5000  0.0000  0.00
Bi  0.0000  0.9074  0.2084  -0.01
Bi  0.5000  0.7410  0.4262  -0.01
Bi  0.5000  0.7590  0.9262  -0.01
Bi  0.0000  0.0926  0.7916  -0.01
Bi  0.5000  0.2410  0.0738  -0.01
Bi  0.0000  0.4074  0.2916  -0.01
Bi  0.0000  0.0000  0.5000  0.00
Pr  0.5000  0.8803  0.6807  0.00
Pr  0.5000  0.6197  0.1807  0.00
Pr  0.5000  0.1197  0.3193  0.00
Pr  0.5000  0.3803  0.8193  0.00

---

Record 8
A relaxed Pr5PaBi6 crystal. Source: Alexandria, functional PBE.

Values from the calculation:
total DFT energy (no corrections)	-66.5	eV per cell
symmetry	No. 12
magnetization	0.0541	μB/atom

a b c (Å): 7.9866 7.9866 7.9775
angles (deg): 99.59 99.59 120.02
Each line ends with the local moment (μB).
Positions (direct):
Bi  0.7590  0.7590  0.2464  -0.01
Bi  0.4054  0.0809  0.2442  -0.01
Bi  0.2410  0.2410  0.7536  -0.01
Bi  0.5946  0.9191  0.7558  -0.01
Bi  0.0809  0.4054  0.2442  -0.01
Bi  0.9191  0.5946  0.7558  -0.01
Pr  0.8294  0.1706  0.5000  0.01
Pr  0.5000  0.5000  0.5000  0.01
Pr  0.3346  0.6654  0.0000  0.01
Pr  0.6654  0.3346  0.0000  0.01
Pr  0.1706  0.8294  0.5000  0.01
Pa  0.0000  0.0000  0.0000  0.59